1.
A relaxed structure of La2Pm4Er2Tm, computed with PBE.

Geometry as POSCAR:
```
La2Pm4Er2Tm
1.0
9.4633 -1.8318 0.0000
9.4633 1.8318 0.0000
-4.2017 0.0000 8.7403
La Pm Er Tm
2 4 2 1
Direct
0.1650 0.1650 0.4972
0.8350 0.8350 0.5028
0.0189 0.0189 0.8356
0.3140 0.3140 0.1654
0.6860 0.6860 0.8346
0.9811 0.9811 0.1644
0.3526 0.3526 0.8353
0.6474 0.6474 0.1647
0.5000 0.5000 0.5000
```

Values from the calculation:
N(E_F) ... 1.37 states/eV/atom
Symmetry ... No. 12



2.
A relaxed structure of La2PmErTm2, computed with PBE.

Geometry as POSCAR:
```
La2PmErTm2
1.0
5.7549 0.0000 0.0000
0.0000 11.0115 0.0000
0.0000 0.0000 6.3455
La Pm Er Tm
4 2 2 4
Direct
0.0000 0.0832 0.0000
0.0000 0.9168 0.5000
0.5000 0.2519 0.1641
0.5000 0.7481 0.6641
0.0000 0.2549 0.5038
0.0000 0.7451 0.0038
0.5000 0.4198 0.6652
0.5000 0.5802 0.1652
0.0000 0.4224 0.9965
0.0000 0.5776 0.4965
0.5000 0.0857 0.6680
0.5000 0.9143 0.1680
```

Values from the calculation:
N(E_F) ... 1.84 states/eV/atom
Symmetry ... No. 26



Number 1: DFT total energy -4.7108 eV/atom. Number 2: DFT total energy -4.6506 eV/atom.